VASP calculation (PBE+U) on an optimized crystal structure of Na2Ni3BiF12.

Properties
Total DFT energy (no corrections) = -4.2459 eV/atom

```
data_Na2Ni3BiF12
_symmetry_space_group_name_H-M 'R -3 m'
_symmetry_Int_Tables_number 166
_symmetry_space_group_name_Hall '-R 3 2"'
_cell_length_a 7.3257
_cell_length_b 7.3257
_cell_length_c 16.2319
_cell_angle_alpha 90.00
_cell_angle_beta 90.00
_cell_angle_gamma 120.00
loop_
_atom_site_label
_atom_site_fract_x
_atom_site_fract_y
_atom_site_fract_z
Na1 0.0000 0.0000 0.1377
Ni1 0.0000 0.5000 0.0000
Bi1 0.0000 0.0000 0.5000
F1 0.0317 0.5158 0.8784
F2 0.0814 0.5407 0.3090
```